DFT (PBE) results for an optimized crystal structure of ZrPa2NiN5.

Cell: 3.2979 13.2119 10.2000 Å, 90.00 90.00 90.00°
Closest atoms and distances in Å follow each position.
Space group Cmc2_1 (No. 36)
Asymmetric unit:
Zr  0.0000  0.1913  0.0000  6 N 2.15-2.32
Pa  0.0000  0.1150  0.6810  8 N 2.30-2.58
Pa  0.0000  0.1342  0.3013  6 N 2.34-2.61
Ni  0.0000  0.4914  0.4755  4 N 1.96-2.02
N  0.0000  0.0397  0.0768  2 Ni 1.99, 1 Zr 2.15
N  0.0000  0.2895  0.6585  3 Pa 2.32-2.42, 2 Zr 2.32
N  0.0000  0.3087  0.3481  2 Zr 2.26, 1 Pa 2.36
N  0.0000  0.3574  0.0023  1 Ni 2.02, 1 Zr 2.19
N  0.0000  0.4907  0.7844  1 Ni 1.96

Computed properties:
spin magnetization: 4.04 μB per cell
uncorrected formation energy: -1176 meV/atom


DFT (PBE) results for an optimized crystal structure of Ti3Zn2Ga2.

Cell: 4.1284 18.4893 2.8470 Å, 90.00 90.00 90.00°
Closest atoms and distances in Å follow each position.
Space group Cmmm (No. 65)
Asymmetric unit:
Ti  0.0000  0.0000  0.0000  4 Ti 2.77-2.85, 8 Ga 2.87
Ti  0.0000  0.1497  0.0000  3 Ti 2.77-2.85, 6 Zn 2.79-2.87, 4 Ga 2.86
Zn  0.0000  0.2847  0.5000  2 Zn 2.43, 1 Ga 2.59
Ga  0.0000  0.4248  0.5000  1 Zn 2.59, 3 Ga 2.78-2.85, 8 Ti 2.86-2.87

Computed properties:
spin magnetization: 0.54 μB per cell
formation enthalpy at 0 K: -32 kJ per mole of atoms


DFT (PBE) results for an optimized crystal structure of Tm3BeSi6Ni2.

Cell: 5.2020 5.2020 8.8352 Å, 90.00 90.00 120.00°
Closest atoms and distances in Å follow each position.
Space group P-3m1 (No. 164)
Asymmetric unit:
Tm  0.0000  0.0000  0.0000  6 Si 2.91, 6 Ni 3.10
Tm  0.3333  0.6667  0.5775  9 Si 2.88-3.02, 3 Be 3.08
Be  0.0000  0.0000  0.5000  6 Si 2.43
Si  0.1647  0.3294  0.2827  1 Ni 2.31, 1 Be 2.43, 2 Si 2.57
Ni  0.3333  0.6667  0.0860  3 Si 2.31

Computed properties:
spin magnetization: 0.00 μB per cell
uncorrected formation energy: -283 meV/atom


DFT (PBE) results for an optimized crystal structure of Sm2Tm2Sc.

Cell: 6.8930 5.4833 16.0694 Å, 90.00 90.00 90.00°
Closest atoms and distances in Å follow each position.
Space group Pnma (No. 62)
Asymmetric unit:
Sm  0.1242  0.2500  0.1505  6 Tm 3.24-3.48, 1 Sc 3.45, 4 Sm 3.60-3.62
Sm  0.1267  0.2500  0.7514  6 Sm 3.45-3.62, 6 Tm 3.63-3.84, 1 Sc 3.84
Tm  0.1209  0.2500  0.3524  5 Sm 3.24-3.63, 3 Sc 3.29-3.38, 1 Tm 3.43
Tm  0.1292  0.7500  0.0367  3 Sm 3.30-3.48, 4 Sc 3.41-3.49, 3 Tm 3.43-3.48
Sc  0.1232  0.7500  0.4650  7 Tm 3.29-3.49, 2 Sc 3.42, 1 Sm 3.45

Computed properties:
spin magnetization: 0.00 μB per cell
formation enthalpy at 0 K: 6 kJ per mole of atoms


DFT (PBE) results for an optimized crystal structure of CsKHgBi.

Cell: 8.5373 8.5373 8.5373 Å, 90.00 90.00 90.00°
Closest atoms and distances in Å follow each position.
Space group F-43m (No. 216)
Asymmetric unit:
Cs  0.0000  0.0000  0.0000  4 Hg 3.70, 4 K 3.70
K  0.2500  0.2500  0.2500  4 Bi 3.70, 4 Cs 3.70
Hg  0.2500  0.2500  0.7500  4 Bi 3.70, 4 Cs 3.70
Bi  0.0000  0.0000  0.5000  4 Hg 3.70, 4 K 3.70

Computed properties:
spin magnetization: 0.00 μB per cell
formation enthalpy at 0 K: -23 kJ per mole of atoms


DFT (PBE) results for an optimized crystal structure of Na8Tl6Cd.

Cell: 9.1270 9.1270 19.8291 Å, 90.00 90.00 120.00°
Closest atoms and distances in Å follow each position.
Space group R-3 (No. 148, hexagonal axes)
Asymmetric unit:
Na  0.0000  0.0000  0.1640  6 Tl 3.22-3.25
Na  0.0041  0.6601  0.3814  5 Tl 3.29-3.39, 3 Na 3.58-3.61
Tl  0.9999  0.3214  0.4532  1 Cd 3.08, 7 Na 3.22-3.39
Cd  0.0000  0.0000  0.5000  6 Tl 3.08

Computed properties:
spin magnetization: 0.00 μB per cell
formation enthalpy at 0 K: -6 kJ per mole of atoms


DFT (PBE) results for an optimized crystal structure of Ho3HgTe6.

Cell: 11.9015 15.0423 7.2896 Å, 90.00 90.00 90.00°
Closest atoms and distances in Å follow each position.
Space group Cmc2_1 (No. 36)
Asymmetric unit:
Ho  0.0000  0.0959  0.0000  7 Te 3.06-3.21
Ho  0.1793  0.4041  0.1063  7 Te 3.05-3.24
Hg  0.0000  0.2875  0.6366  4 Te 2.81-2.97
Te  0.0000  0.2706  0.2531  1 Hg 2.81, 2 Ho 3.12
Te  0.0000  0.4666  0.8075  1 Hg 2.97, 4 Ho 3.19-3.24
Te  0.1632  0.0362  0.3004  4 Ho 3.05-3.14
Te  0.1863  0.2279  0.8588  1 Hg 2.89, 3 Ho 3.15-3.21

Computed properties:
spin magnetization: 0.00 μB per cell
uncorrected formation energy: -982 meV/atom


DFT (PBE) results for an optimized crystal structure of Ac3GeN4.

Cell: 7.7867 7.2500 5.8123 Å, 90.00 90.00 90.00°
Closest atoms and distances in Å follow each position.
Space group Pmn2_1 (No. 31)
Asymmetric unit:
Ac  0.0000  0.1261  0.0000  4 N 2.46-2.69
Ac  0.2452  0.3445  0.5056  4 N 2.42-2.68
Ge  0.0000  0.8304  0.4809  4 N 1.93-1.95
N  0.0000  0.0954  0.5394  1 Ge 1.95
N  0.0000  0.8085  0.1501  1 Ge 1.93
N  0.2095  0.7083  0.5737  1 Ge 1.93

Computed properties:
spin magnetization: 1.80 μB per cell
uncorrected formation energy: -736 meV/atom


DFT (PBE) results for an optimized crystal structure of LiRe3Mo.

Cell: 4.7487 4.7487 4.7487 Å, 90.00 90.00 90.00°
Closest atoms and distances in Å follow each position.
Space group Pm-3m (No. 221)
Asymmetric unit:
Li  0.0000  0.0000  0.0000  12 Re 3.36
Re  0.0000  0.5000  0.5000  2 Mo 2.37
Mo  0.5000  0.5000  0.5000  6 Re 2.37

Computed properties:
spin magnetization: 2.36 μB per cell
formation enthalpy at 0 K: 201 kJ per mole of atoms


DFT (PBE) results for an optimized crystal structure of NpSc2As3.

Cell: 5.6164 11.8505 7.9102 Å, 90.00 90.01 90.00°
Closest atoms and distances in Å follow each position.
Space group P2_1/c (No. 14)
Asymmetric unit:
Np  0.2496  0.0807  0.1273  6 As 2.81-2.86
Sc  0.2499  0.0842  0.6225  6 As 2.77-2.81
Sc  0.2505  0.7479  0.6243  6 As 2.74-2.81
As  0.2495  0.2505  0.3760  4 Sc 2.77-2.81, 2 Np 2.81-2.82
As  0.2501  0.5861  0.8805  5 Sc 2.76-2.81, 1 Np 2.81
As  0.2504  0.5869  0.3671  3 Sc 2.74-2.80, 3 Np 2.81-2.86

Computed properties:
spin magnetization: 15.05 μB per cell
formation enthalpy at 0 K: -108 kJ per mole of atoms


DFT (PBE) results for an optimized crystal structure of Zr3Ta4.

Cell: 5.6446 5.6446 5.2165 Å, 90.00 90.00 120.00°
Closest atoms and distances in Å follow each position.
Space group P6/mmm (No. 191)
Asymmetric unit:
Zr  0.0000  0.5000  0.0000  4 Zr 2.82, 8 Ta 3.08-3.12
Ta  0.0000  0.0000  0.2527  2 Ta 2.58-2.64
Ta  0.3333  0.6667  0.5000  6 Zr 3.08, 3 Ta 3.26

Computed properties:
spin magnetization: 0.00 μB per cell
formation enthalpy at 0 K: 43 kJ per mole of atoms


DFT (PBE) results for an optimized crystal structure of Re5Os3.

Cell: 4.8869 6.9268 7.6471 Å, 84.37 79.68 73.15°
Closest atoms and distances in Å follow each position.
Space group P-1 (No. 2)
Asymmetric unit:
Re  0.0189  0.1878  0.1739  6 Os 2.65-2.96, 4 Re 2.71-2.80
Re  0.1551  0.7806  0.1596  5 Os 2.69-2.79, 5 Re 2.71-2.97
Re  0.2464  0.9858  0.5376  5 Re 2.50-2.73, 3 Os 2.63-2.71
Re  0.3678  0.3085  0.6509  5 Os 2.60-2.72, 6 Re 2.68-2.90
Re  0.4430  0.3663  0.2905  6 Os 2.61-2.91, 4 Re 2.72-2.81
Os  0.1034  0.6510  0.5042  1 Os 2.58, 9 Re 2.60-2.87
Os  0.2844  0.4343  0.9728  7 Re 2.62-2.84, 2 Os 2.63
Os  0.3987  0.9777  0.8625  1 Os 2.56, 7 Re 2.61-2.79

Computed properties:
spin magnetization: 0.00 μB per cell
formation enthalpy at 0 K: 21 kJ per mole of atoms


DFT (PBE) results for an optimized crystal structure of InAg6Sn2.

Cell: 7.0457 7.1937 9.8663 Å, 90.00 130.83 90.00°
Closest atoms and distances in Å follow each position.
Space group P2_1/c (No. 14)
Asymmetric unit:
In  0.0000  0.0000  0.0000  6 Ag 2.83-3.01
Ag  0.0386  0.1585  0.3000  2 Sn 2.82-3.00, 5 Ag 2.82-2.99, 1 In 3.01
Ag  0.1966  0.6436  0.0351  7 Ag 2.82-3.15, 1 In 2.83, 2 Sn 2.85-2.96
Ag  0.4259  0.6394  0.8665  7 Ag 2.91-3.18, 2 Sn 2.97-3.03, 1 In 2.98
Sn  0.3767  0.1055  0.8219  6 Ag 2.82-3.03, 1 Sn 3.11

Computed properties:
spin magnetization: 0.00 μB per cell
formation enthalpy at 0 K: 3 kJ per mole of atoms


DFT (PBE) results for an optimized crystal structure of Pr2SnGe3Pt4.

Cell: 4.4351 4.4351 10.3689 Å, 90.00 90.00 90.00°
Closest atoms and distances in Å follow each position.
Space group P-4m2 (No. 115)
Asymmetric unit:
Pr  0.0000  0.5000  0.2391  8 Pt 3.33-3.38, 6 Ge 3.36-3.50, 2 Sn 3.50
Sn  0.0000  0.0000  0.5000  4 Pt 2.65
Ge  0.0000  0.5000  0.8759  5 Pt 2.45-2.56
Ge  0.5000  0.5000  0.5000  4 Pt 2.65
Pt  0.0000  0.0000  0.0000  4 Ge 2.56
Pt  0.0000  0.5000  0.6393  3 Ge 2.45-2.65, 2 Sn 2.65
Pt  0.5000  0.5000  0.0000  4 Ge 2.56

Computed properties:
spin magnetization: 0.00 μB per cell
formation enthalpy at 0 K: -87 kJ per mole of atoms


DFT (PBE) results for an optimized crystal structure of CeHfN.

Cell: 3.0656 3.0656 13.2880 Å, 90.00 90.00 90.00°
Closest atoms and distances in Å follow each position.
Space group I4mm (No. 107)
Asymmetric unit:
Ce  0.0000  0.0000  0.0000  1 N 2.73
Hf  0.0000  0.0000  0.2986  4 N 2.17
N  0.0000  0.0000  0.7945  4 Hf 2.17

Computed properties:
spin magnetization: 1.26 μB per cell
uncorrected formation energy: -748 meV/atom


DFT (PBE) results for an optimized crystal structure of ZrNiW2.

Cell: 6.3839 6.3839 6.3839 Å, 90.00 90.00 90.00°
Closest atoms and distances in Å follow each position.
Space group F-43m (No. 216)
Asymmetric unit:
Zr  0.0000  0.0000  0.0000  4 Ni 2.76, 4 W 2.76
Ni  0.2500  0.2500  0.7500  4 Zr 2.76, 4 W 2.76
W  0.0000  0.0000  0.5000  4 W 2.76, 4 Ni 2.76
W  0.2500  0.2500  0.2500  4 Zr 2.76, 4 W 2.76

Computed properties:
spin magnetization: 0.00 μB per cell
formation enthalpy at 0 K: 8 kJ per mole of atoms


DFT (PBE) results for an optimized crystal structure of Na2TaSe.

Cell: 9.4530 9.4530 5.0322 Å, 90.00 90.00 90.00°
Closest atoms and distances in Å follow each position.
Space group I-42d (No. 122)
Asymmetric unit:
Na  0.1624  0.2500  0.1250  2 Se 2.89, 2 Na 3.01
Ta  0.0000  0.0000  0.5000  2 Se 2.52
Se  0.0000  0.0000  0.0000  2 Ta 2.52

Computed properties:
spin magnetization: 11.56 μB per cell
uncorrected formation energy: 471 meV/atom


DFT (PBE) results for an optimized crystal structure of Sr6Pt2N.

Cell: 7.0734 8.0307 12.2572 Å, 90.00 124.33 90.00°
Closest atoms and distances in Å follow each position.
Space group P2_1/c (No. 14)
Asymmetric unit:
Sr  0.1117  0.0390  0.2378  1 N 2.57
Sr  0.2143  0.7038  0.0614  1 N 2.69
Sr  0.3653  0.1561  0.0613  1 N 2.57
Pt  0.2903  0.1084  0.7503  6 Sr 3.07-3.28
N  0.0000  0.0000  0.0000  6 Sr 2.57-2.69

Computed properties:
spin magnetization: 0.00 μB per cell
uncorrected formation energy: -615 meV/atom


DFT (PBE) results for an optimized crystal structure of CrIn2Tc.

Cell: 10.0891 3.1083 4.8330 Å, 90.00 110.11 90.00°
Closest atoms and distances in Å follow each position.
Space group Cm (No. 8)
Asymmetric unit:
Cr  0.0000  0.0000  0.0000  2 Tc 2.36
In  0.2343  0.0000  0.7841  4 Tc 2.89-2.95, 3 Cr 2.89-2.96, 6 In 3.09-3.23
In  0.4489  0.0000  0.4568  3 Tc 2.86-3.00, 4 Cr 2.89-2.94, 5 In 3.09-3.17
Tc  0.1787  0.5000  0.2367  2 Cr 2.36

Computed properties:
spin magnetization: 0.01 μB per cell
formation enthalpy at 0 K: 35 kJ per mole of atoms


DFT (PBE) results for an optimized crystal structure of BaGa2Ni2.

Cell: 7.7553 7.7553 3.1122 Å, 90.00 90.00 90.00°
Closest atoms and distances in Å follow each position.
Space group P4/mbm (No. 127)
Asymmetric unit:
Ba  0.0000  0.0000  0.0000  4 Ni 3.07, 2 Ba 3.11, 8 Ga 3.40
Ga  0.1327  0.3673  0.5000  4 Ni 2.53
Ni  0.1248  0.6248  0.0000  4 Ga 2.53, 1 Ni 2.74

Computed properties:
spin magnetization: 0.00 μB per cell
formation enthalpy at 0 K: -2 kJ per mole of atoms